# 1
DFT (PBE-GGA) results for TlCd2In4Sn after structural relaxation.

Values from the calculation:
crystal system = tetragonal

Cell lengths 4.3842, 4.3842, 12.1417 Å; angles 90.00, 90.00, 90.00 degrees
Last column: nearest neighbours and their distance in Å.
Element x y z (fractional)
Tl  0.0000  0.0000  0.0000  8 In 3.35
Cd  0.5000  0.5000  0.3865  1 Cd 2.76, 4 In 3.08
Cd  0.5000  0.5000  0.6135  1 Cd 2.76, 4 In 3.08
In  0.0000  0.5000  0.2086  2 Cd 3.08, 4 In 3.10, 2 Tl 3.35
In  0.0000  0.5000  0.7914  2 Cd 3.08, 4 In 3.10, 2 Tl 3.35
In  0.5000  0.0000  0.2086  2 Cd 3.08, 4 In 3.10, 2 Tl 3.35
In  0.5000  0.0000  0.7914  2 Cd 3.08, 4 In 3.10, 2 Tl 3.35
Sn  0.0000  0.0000  0.5000  8 Cd 3.39

***

# 2
DFT (PBE-GGA) results for Tb2B4C after structural relaxation.

Values from the calculation:
crystal system = orthorhombic

Cell lengths 5.2974, 5.2974, 5.2974 Å; angles 143.89, 103.30, 87.83 degrees
Last column: nearest neighbours and their distance in Å.
Element x y z (fractional)
Tb  0.2349  0.2349  0.0000  2 C 2.43, 2 B 2.70
Tb  0.7651  0.7651  0.0000  2 C 2.43, 2 B 2.70
B  0.2271  0.5000  0.7271  1 C 1.49
B  0.3650  0.0000  0.3650  3 B 1.77-1.88
B  0.6350  0.0000  0.6350  3 B 1.77-1.88
B  0.7729  0.5000  0.2729  1 C 1.49
C  0.0000  0.5000  0.5000  2 B 1.49

***

# 3
DFT (PBE-GGA) results for La2ScAs after structural relaxation.

Values from the calculation:
crystal system = tetragonal

Cell lengths 5.9597, 5.9597, 5.9597 Å; angles 134.84, 134.84, 65.78 degrees
Last column: nearest neighbours and their distance in Å.
Element x y z (fractional)
La  0.0000  0.0000  0.0000  4 As 3.24, 4 Sc 3.39, 4 La 3.39
La  0.7500  0.2500  0.5000  4 Sc 3.24, 4 La 3.39, 4 As 3.39
Sc  0.2500  0.7500  0.5000  8 La 3.24-3.39, 4 As 3.39
As  0.5000  0.5000  0.0000  8 La 3.24-3.39, 4 Sc 3.39

***

Record order is preserved below.
Electronic total energy: -2.2657 -7.0099 -5.6729 eV per atom
Record order is preserved below.
N(E_F): 3.44 1.53 4.81 states/eV/cell